# meta-GGA SCAN CsF, PBEsol geometry
data_CsF
_chemical_formula_sum 'Cs4 F4'
_cell_length_a 5.944
_cell_length_b 5.944
_cell_length_c 5.944
_cell_angle_alpha 90.00
_cell_angle_beta 90.00
_cell_angle_gamma 90.00
_space_group_name_H-M_alt 'F m -3 m'
_space_group_IT_number 225
_space_group_name_Hall '-F 4 2 3'
loop_
_atom_site_label
_atom_site_type_symbol
_atom_site_fract_x
_atom_site_fract_y
_atom_site_fract_z
Cs1 Cs 0.000 0.000 0.000
F1 F 0.000 0.000 0.500
# * uncorrected formation energy: -2.83 eV per atom
# * total magnetization: 0.00 μB per cell
# * DOS(E_F): 0.0 states/eV per cell

=====

# meta-GGA SCAN CsF3, PBEsol geometry
data_CsF3
_chemical_formula_sum 'Cs2 F6'
_cell_length_a 6.810
_cell_length_b 5.325
_cell_length_c 4.354
_cell_angle_alpha 90.00
_cell_angle_beta 108.63
_cell_angle_gamma 90.00
_space_group_name_H-M_alt 'C 1 2/m 1'
_space_group_IT_number 12
loop_
_space_group_symop_operation_xyz
'x,y,z'
'-x,-y,-z'
'-x,y,-z'
'x,-y,z'
'x+1/2,y+1/2,z'
'-x+1/2,-y+1/2,-z'
'-x+1/2,y+1/2,-z'
'x+1/2,-y+1/2,z'
loop_
_atom_site_label
_atom_site_type_symbol
_atom_site_fract_x
_atom_site_fract_y
_atom_site_fract_z
Cs1 Cs 0.000 0.000 0.000
F1 F 0.000 0.500 0.500
F2 F 0.187 0.500 0.313
# * uncorrected formation energy: -1.56 eV per atom
# * total magnetization: 0.21 μB per cell
# * DOS(E_F): 0.0 states/eV per cell

=====

# meta-GGA SCAN CsFeF3, PBEsol geometry
data_CsFeF3
_chemical_formula_sum 'Cs6 Fe6 F18'
_cell_length_a 6.0949
_cell_length_b 6.0949
_cell_length_c 14.4973
_cell_angle_alpha 90.00
_cell_angle_beta 90.00
_cell_angle_gamma 120.00
_space_group_name_H-M_alt 'P 63/m m c'
_space_group_IT_number 194
_space_group_name_Hall '-P 6c 2c'
loop_
_atom_site_label
_atom_site_type_symbol
_atom_site_fract_x
_atom_site_fract_y
_atom_site_fract_z
Cs1 Cs 0.0000 0.0000 0.2500
Cs2 Cs 0.3333 0.6667 0.0930
Fe1 Fe 0.0000 0.0000 0.0000
Fe2 Fe 0.3333 0.6667 0.6572
F1 F 0.0344 0.5172 0.7500
F2 F 0.1665 0.3330 0.5801
# * uncorrected formation energy: -2.60 eV per atom
# * total magnetization: 24.00 μB per cell
# * DOS(E_F): 7.7 states/eV per cell

=====

# meta-GGA SCAN Cs3FeF, PBEsol geometry
data_Cs3FeF
_chemical_formula_sum 'Cs3 Fe1 F1'
_cell_length_a 6.092
_cell_length_b 6.092
_cell_length_c 6.092
_cell_angle_alpha 90.00
_cell_angle_beta 90.00
_cell_angle_gamma 90.00
_space_group_name_H-M_alt 'P m -3 m'
_space_group_IT_number 221
_space_group_name_Hall '-P 4 2 3'
loop_
_atom_site_label
_atom_site_type_symbol
_atom_site_fract_x
_atom_site_fract_y
_atom_site_fract_z
Cs1 Cs 0.000 0.000 0.500
Fe1 Fe 0.000 0.000 0.000
F1 F 0.500 0.500 0.500
# * uncorrected formation energy: -0.03 eV per atom
# * total magnetization: 2.00 μB per cell
# * DOS(E_F): 1.1 states/eV per cell

=====

# meta-GGA SCAN Cs4Fe3F10, PBEsol geometry
data_Cs4Fe3F10
_chemical_formula_sum 'Cs16 Fe12 F40'
_cell_length_a 6.226
_cell_length_b 14.309
_cell_length_c 13.649
_cell_angle_alpha 90.00
_cell_angle_beta 90.00
_cell_angle_gamma 90.00
_space_group_name_H-M_alt 'C m c e'
_space_group_IT_number 64
_space_group_name_Hall '-C 2ac 2'
loop_
_atom_site_label
_atom_site_type_symbol
_atom_site_fract_x
_atom_site_fract_y
_atom_site_fract_z
Cs1 Cs 0.000 0.049 0.137
Cs2 Cs 0.000 0.248 0.386
Fe1 Fe 0.000 0.000 0.500
Fe2 Fe 0.000 0.111 0.652
F1 F 0.000 0.036 0.351
F2 F 0.000 0.248 0.649
F3 F 0.223 0.101 0.534
F4 F 0.250 0.106 0.750
# * uncorrected formation energy: -2.66 eV per atom
# * total magnetization: 48.00 μB per cell
# * DOS(E_F): 11.8 states/eV per cell

=====

# meta-GGA SCAN CsFeOF2, PBEsol geometry
data_CsFeOF2
_chemical_formula_sum 'Cs1 Fe1 O1 F2'
_cell_length_a 4.373
_cell_length_b 4.373
_cell_length_c 3.736
_cell_angle_alpha 90.00
_cell_angle_beta 90.00
_cell_angle_gamma 90.00
_space_group_name_H-M_alt 'P 4/m m m'
_space_group_IT_number 123
_space_group_name_Hall '-P 4 2'
loop_
_atom_site_label
_atom_site_type_symbol
_atom_site_fract_x
_atom_site_fract_y
_atom_site_fract_z
Cs1 Cs 0.000 0.000 0.000
Fe1 Fe 0.500 0.500 0.500
O1 O 0.500 0.500 0.000
F1 F 0.000 0.500 0.500
# * uncorrected formation energy: -2.23 eV per atom
# * total magnetization: 4.97 μB per cell
# * DOS(E_F): 0.4 states/eV per cell

=====

# meta-GGA SCAN Cs3GaF, PBEsol geometry
data_Cs3GaF
_chemical_formula_sum 'Cs3 Ga1 F1'
_cell_length_a 5.870
_cell_length_b 5.870
_cell_length_c 5.870
_cell_angle_alpha 90.00
_cell_angle_beta 90.00
_cell_angle_gamma 90.00
_space_group_name_H-M_alt 'P m -3 m'
_space_group_IT_number 221
_space_group_name_Hall '-P 4 2 3'
loop_
_atom_site_label
_atom_site_type_symbol
_atom_site_fract_x
_atom_site_fract_y
_atom_site_fract_z
Cs1 Cs 0.000 0.000 0.500
Ga1 Ga 0.500 0.500 0.500
F1 F 0.000 0.000 0.000
# * uncorrected formation energy: -1.04 eV per atom
# * total magnetization: 2.92 μB per cell
# * DOS(E_F): 1.2 states/eV per cell

=====

# meta-GGA SCAN Cs2KGaF6, PBEsol geometry
data_Cs2KGaF6
_chemical_formula_sum 'Cs8 K4 Ga4 F24'
_cell_length_a 8.943
_cell_length_b 8.943
_cell_length_c 8.943
_cell_angle_alpha 90.00
_cell_angle_beta 90.00
_cell_angle_gamma 90.00
_space_group_name_H-M_alt 'F m -3 m'
_space_group_IT_number 225
_space_group_name_Hall '-F 4 2 3'
loop_
_atom_site_label
_atom_site_type_symbol
_atom_site_fract_x
_atom_site_fract_y
_atom_site_fract_z
Cs1 Cs 0.250 0.250 0.250
K1 K 0.000 0.000 0.000
Ga1 Ga 0.000 0.000 0.500
F1 F 0.000 0.000 0.286
# * uncorrected formation energy: -3.04 eV per atom
# * total magnetization: 0.76 μB per cell
# * DOS(E_F): 0.0 states/eV per cell